Entry 1:
Here is an optimized crystal structure of La6Sm4Er from the Alexandria database. Energies are from PBE.

energy above the lowest structure with this stoichiometry	159.0	meV/atom
ΔH_f (0 K)	0.2605	eV per atom
crystal system	tetragonal
ρ	6.67	g/cm3

Cell lengths 7.007, 7.007, 16.255 Å; angles 90.00, 90.00, 90.00 degrees
Space group I-42m (No. 121)
One atom of each set of equivalent atoms:
La 0.000 0.500 0.000 (multiplicity 4)
La 0.190 0.190 0.182 (multiplicity 8)
Sm 0.171 0.171 0.395 (multiplicity 8)
Er 0.000 0.000 0.000 (multiplicity 2)

***

Entry 2:
Here is an optimized crystal structure of La2SmEr2 from the Alexandria database. Energies are from PBE.

energy above the lowest structure with this stoichiometry	0.0	meV/atom
ΔH_f (0 K)	0.1891	eV per atom
crystal system	monoclinic
ρ	7.31	g/cm3

Cell lengths 8.657, 15.748, 5.679 Å; angles 90.00, 116.44, 90.00 degrees
Space group C2/c (No. 15)
One atom of each set of equivalent atoms:
La 0.182 0.074 0.118 (multiplicity 8)
Sm 0.000 0.406 0.250 (multiplicity 4)
Er 0.137 0.223 0.633 (multiplicity 8)

***

Entry 3:
Here is an optimized crystal structure of La4Sm3Er2 from the Alexandria database. Energies are from PBE.

energy above the lowest structure with this stoichiometry	59.6	meV/atom
ΔH_f (0 K)	0.0865	eV per atom
crystal system	monoclinic
ρ	6.98	g/cm3

Cell lengths 13.029, 3.713, 14.637 Å; angles 90.00, 115.72, 90.00 degrees
Space group C2/m (No. 12)
One atom of each set of equivalent atoms:
La 0.218 0.000 0.106 (multiplicity 4)
La 0.221 0.500 0.372 (multiplicity 4)
Sm 0.000 0.500 0.500 (multiplicity 2)
Sm 0.004 0.500 0.885 (multiplicity 4)
Er 0.050 0.000 0.710 (multiplicity 4)

***

Entry 4:
Here is an optimized crystal structure of La2Sm6Er5 from the Alexandria database. Energies are from PBE.

ΔH_f (0 K)	0.1016	eV per atom
crystal system	orthorhombic
ρ	7.64	g/cm3

Cell lengths 11.825, 20.397, 3.636 Å; angles 90.00, 90.00, 90.00 degrees
Space group Pbam (No. 55)
One atom of each set of equivalent atoms:
La 0.167 0.219 0.000 (multiplicity 4)
Sm 0.059 0.924 0.000 (multiplicity 4)
Sm 0.079 0.636 0.000 (multiplicity 4)
Sm 0.179 0.377 0.500 (multiplicity 4)
Er 0.000 0.500 0.500 (multiplicity 2)
Er 0.095 0.780 0.500 (multiplicity 4)
Er 0.200 0.054 0.500 (multiplicity 4)

***

Entry 5:
Here is an optimized crystal structure of LaSmEr2 from the Alexandria database. Energies are from PBE.

energy above the lowest structure with this stoichiometry	80.4	meV/atom
ΔH_f (0 K)	0.0974	eV per atom
crystal system	cubic
ρ	7.75	g/cm3

Cell lengths 8.116, 8.116, 8.116 Å; angles 90.00, 90.00, 90.00 degrees
Space group Fm-3m (No. 225)
One atom of each set of equivalent atoms:
La 0.000 0.000 0.000 (multiplicity 4)
Sm 0.000 0.000 0.500 (multiplicity 4)
Er 0.250 0.250 0.250 (multiplicity 8)

***

Entry 6:
Here is an optimized crystal structure of LaSm2Er2 from the Alexandria database. Energies are from PBE.

energy above the lowest structure with this stoichiometry	161.1	meV/atom
ΔH_f (0 K)	0.2378	eV per atom
crystal system	monoclinic
ρ	7.52	g/cm3

Cell lengths 8.702, 9.455, 8.858 Å; angles 90.00, 110.15, 90.00 degrees
Space group C2/c (No. 15)
One atom of each set of equivalent atoms:
La 0.000 0.197 0.250 (multiplicity 4)
Sm 0.000 0.500 0.000 (multiplicity 4)
Sm 0.250 0.250 0.000 (multiplicity 4)
Er 0.156 0.095 0.635 (multiplicity 8)

***

Entry 7:
Here is an optimized crystal structure of La6SmEr2 from the Alexandria database. Energies are from PBE.

energy above the lowest structure with this stoichiometry	0.0	meV/atom
ΔH_f (0 K)	0.0555	eV per atom
crystal system	hexagonal
ρ	6.83	g/cm3

Cell lengths 3.6609, 3.6609, 27.6217 Å; angles 90.00, 90.00, 120.00 degrees
Space group P-6m2 (No. 187)
One atom of each set of equivalent atoms:
La 0.0000 0.0000 0.0667 (multiplicity 2)
La 0.0000 0.0000 0.2754 (multiplicity 2)
La 0.3333 0.6667 0.3908 (multiplicity 2)
Sm 0.0000 0.0000 0.5000 (multiplicity 1)
Er 0.3333 0.6667 0.1698 (multiplicity 2)

***

Entry 8:
Here is an optimized crystal structure of La7Sm4Er from the Alexandria database. Energies are from PBE.

energy above the lowest structure with this stoichiometry	0.0	meV/atom
ΔH_f (0 K)	0.0187	eV per atom
crystal system	triclinic
ρ	6.78	g/cm3

Cell lengths 6.444, 7.398, 9.190 Å; angles 90.10, 103.46, 90.02 degrees
Space group P-1 (No. 2)
One atom of each set of equivalent atoms:
La 0.000 0.000 0.000 (multiplicity 1)
La 0.220 0.499 0.668 (multiplicity 2)
La 0.280 0.750 0.333 (multiplicity 2)
La 0.500 0.251 0.001 (multiplicity 2)
Sm 0.222 0.000 0.667 (multiplicity 2)
Sm 0.277 0.249 0.329 (multiplicity 2)
Er 0.000 0.500 0.000 (multiplicity 1)

***

Entry 9:
Here is an optimized crystal structure of La3Sm2Er from the Alexandria database. Energies are from PBE.

energy above the lowest structure with this stoichiometry	86.7	meV/atom
ΔH_f (0 K)	0.3149	eV per atom
crystal system	orthorhombic
ρ	7.01	g/cm3

Cell lengths 3.488, 6.072, 19.789 Å; angles 90.00, 90.00, 90.00 degrees
Space group Immm (No. 71)
One atom of each set of equivalent atoms:
La 0.000 0.000 0.000 (multiplicity 2)
La 0.000 0.500 0.187 (multiplicity 4)
Sm 0.000 0.500 0.364 (multiplicity 4)
Er 0.000 0.500 0.000 (multiplicity 2)

***

Entry 10:
Here is an optimized crystal structure of LaSm4Er from the Alexandria database. Energies are from PBE.

energy above the lowest structure with this stoichiometry	0.0	meV/atom
ΔH_f (0 K)	0.0204	eV per atom
crystal system	monoclinic
ρ	7.43	g/cm3

Cell lengths 12.019, 3.637, 10.241 Å; angles 90.00, 115.05, 90.00 degrees
Space group C2/m (No. 12)
One atom of each set of equivalent atoms:
La 0.000 0.000 0.000 (multiplicity 2)
Sm 0.166 0.500 0.829 (multiplicity 4)
Sm 0.167 0.500 0.337 (multiplicity 4)
Er 0.000 0.000 0.500 (multiplicity 2)

***

Entry 11:
Here is an optimized crystal structure of La4Sm3Er2 from the Alexandria database. Energies are from PBE.

energy above the lowest structure with this stoichiometry	0.0	meV/atom
ΔH_f (0 K)	0.0268	eV per atom
crystal system	monoclinic
ρ	7.16	g/cm3

Cell lengths 15.522, 5.195, 8.123 Å; angles 90.00, 108.34, 90.00 degrees
Space group C2/m (No. 12)
One atom of each set of equivalent atoms:
La 0.054 0.000 0.329 (multiplicity 4)
La 0.224 0.500 0.331 (multiplicity 4)
Sm 0.000 0.500 0.000 (multiplicity 2)
Sm 0.112 0.500 0.671 (multiplicity 4)
Er 0.168 0.000 0.999 (multiplicity 4)

***

Entry 12:
Here is an optimized crystal structure of LaSm2Er5 from the Alexandria database. Energies are from PBE.

energy above the lowest structure with this stoichiometry	5.4	meV/atom
ΔH_f (0 K)	0.0304	eV per atom
crystal system	orthorhombic
ρ	8.17	g/cm3

Cell lengths 3.554, 11.141, 13.094 Å; angles 90.00, 90.00, 90.00 degrees
Space group Immm (No. 71)
One atom of each set of equivalent atoms:
La 0.000 0.000 0.000 (multiplicity 2)
Sm 0.000 0.500 0.257 (multiplicity 4)
Er 0.000 0.228 0.367 (multiplicity 8)
Er 0.000 0.500 0.000 (multiplicity 2)